w | Computed, not measured: HfFeNiAs after structural relaxation at the PBE level of DFT.

Cell lengths 4.2942, 4.2942, 4.2942 Å; angles 60.00, 60.00, 60.00 degrees
Sites, in units of the cell vectors:
Hf (0.0000, 0.0000, 0.0000)
Fe (0.7500, 0.7500, 0.7500)
Ni (0.2500, 0.2500, 0.2500)
As (0.5000, 0.5000, 0.5000)

## Properties
Magnetic moment (μB per formula unit): 1.4
V (Å³ per atom): 13.999

***

x | Computed, not measured: HfFeNiAs after structural relaxation at the PBE level of DFT.

Cell lengths 4.3835, 4.3835, 4.3835 Å; angles 60.00, 60.00, 60.00 degrees
Sites, in units of the cell vectors:
Hf (0.0000, 0.0000, 0.0000)
Fe (0.7500, 0.7500, 0.7500)
Ni (0.5000, 0.5000, 0.5000)
As (0.2500, 0.2500, 0.2500)

## Properties
Magnetic moment (μB per formula unit): 2.2
V (Å³ per atom): 14.890

***

y | Computed, not measured: HfFeNiAs after structural relaxation at the PBE level of DFT.

Cell lengths 4.3634, 4.3634, 4.3634 Å; angles 60.00, 60.00, 60.00 degrees
Sites, in units of the cell vectors:
Hf (0.0000, 0.0000, 0.0000)
Fe (0.5000, 0.5000, 0.5000)
Ni (0.7500, 0.7500, 0.7500)
As (0.2500, 0.2500, 0.2500)

## Properties
Magnetic moment (μB per formula unit): 2.3
V (Å³ per atom): 14.686

***

Which structure loses on stability? x does.

***

w | Computed, not measured: HfFeReAs after structural relaxation at the PBE level of DFT.

Cell lengths 4.3795, 4.3795, 4.3795 Å; angles 60.00, 60.00, 60.00 degrees
Sites, in units of the cell vectors:
Hf (0.0000, 0.0000, 0.0000)
Fe (0.7500, 0.7500, 0.7500)
Re (0.2500, 0.2500, 0.2500)
As (0.5000, 0.5000, 0.5000)

## Properties
Magnetic moment (μB per formula unit): 0.0
V (Å³ per atom): 14.849

***

x | Computed, not measured: HfFeReAs after structural relaxation at the PBE level of DFT.

Cell lengths 4.4999, 4.4999, 4.4999 Å; angles 60.00, 60.00, 60.00 degrees
Sites, in units of the cell vectors:
Hf (0.0000, 0.0000, 0.0000)
Fe (0.5000, 0.5000, 0.5000)
Re (0.7500, 0.7500, 0.7500)
As (0.2500, 0.2500, 0.2500)

## Properties
Magnetic moment (μB per formula unit): 3.9
V (Å³ per atom): 16.108

***

Which structure loses on stability? x does.

***

w | Computed, not measured: Hf3Sc3FeAs2 after structural relaxation at the PBE level of DFT.

Cell lengths 7.3603, 7.3603, 3.6048 Å; angles 90.00, 90.00, 120.00 degrees
Sites, in units of the cell vectors:
Hf (0.0000, 0.4032, 0.0000)
Hf (0.4032, 0.0000, 0.0000)
Hf (0.5968, 0.5968, 0.0000)
Sc (0.0000, 0.7538, 0.5000)
Sc (0.2462, 0.2462, 0.5000)
Sc (0.7538, 0.0000, 0.5000)
Fe (0.0000, 0.0000, 0.0000)
As (0.3333, 0.6667, 0.5000)
As (0.6667, 0.3333, 0.5000)

## Properties
Magnetic moment (μB per formula unit): 0.3
V (Å³ per atom): 18.792

***

x | Computed, not measured: Hf3Sc3FeAs2 after structural relaxation at the PBE level of DFT.

Cell lengths 7.4391, 7.4391, 3.6321 Å; angles 90.00, 90.00, 120.00 degrees
Sites, in units of the cell vectors:
Hf (0.0000, 0.7571, 0.0000)
Hf (0.2429, 0.2429, 0.0000)
Hf (0.7571, 0.0000, 0.0000)
Sc (0.0000, 0.4058, 0.5000)
Sc (0.4058, 0.0000, 0.5000)
Sc (0.5942, 0.5942, 0.5000)
Fe (0.0000, 0.0000, 0.5000)
As (0.3333, 0.6667, 0.0000)
As (0.6667, 0.3333, 0.0000)

## Properties
Magnetic moment (μB per formula unit): 1.8
V (Å³ per atom): 19.342

***

Which structure loses on stability? w does.